Material: SrTc2Au
Method: DFT, GGA-PBE
State: relaxed

Properties
The spin magnetization comes out at 1.06 Bohr magnetons per cell. The total DFT energy (no corrections) comes out at -22.4 eV for the cell shown. As for the mass density: 10.1 g/cm3. As for the energy relative to the lowest polymorph listed for this composition: 2.59 eV/f.u.

a b c (Å): 5.713 5.713 5.713
angles (deg): 139.06 139.06 59.28
Positions (direct):
Sr1 0.000 0.000 0.000
Tc1 0.250 0.750 0.500
Tc2 0.750 0.250 0.500
Au1 0.500 0.500 0.000